HoHfSc4 | PBE-GGA | optimized geometry

Cell lengths 3.3155, 5.1722, 8.8935 Å; angles 90.01, 100.74, 90.00 degrees
Closest atoms and distances in Å follow each position.
Fractional coordinates of all 6 atoms:
Sc 0.2855 0.0028 0.8170  2 Hf 3.19, 8 Sc 3.21-3.32, 2 Ho 3.41
Ho 0.6147 0.0026 0.4754  10 Sc 3.27-3.42, 2 Ho 3.32
Hf 0.3927 0.5028 0.0301  10 Sc 3.19-3.26, 2 Hf 3.32
Sc 0.9443 0.0027 0.1336  6 Sc 3.18-3.32, 4 Hf 3.20, 2 Ho 3.41-3.42
Sc 0.7320 0.5028 0.7096  8 Sc 3.21-3.59, 2 Hf 3.25-3.26, 2 Ho 3.30
Sc 0.0497 0.5026 0.3456  4 Sc 3.18-3.32, 2 Hf 3.22, 4 Ho 3.27

Properties
As for the energy above the most stable polymorph in this dataset: 0.00 eV per formula unit. The calculation puts the formation energy at 0.012 eV per atom.



HoHfSc | PBE-GGA | optimized geometry

Cell lengths 3.2771, 3.2771, 7.4948 Å; angles 102.63, 102.63, 90.00 degrees
Closest atoms and distances in Å follow each position.
Fractional coordinates of all 3 atoms:
Ho 0.0071 0.0071 0.0141  4 Ho 3.28, 4 Hf 3.30, 4 Sc 3.52
Sc 0.3213 0.3213 0.6427  4 Hf 3.15, 4 Sc 3.28, 4 Ho 3.52
Hf 0.6716 0.6716 0.3432  4 Sc 3.15, 4 Hf 3.28, 4 Ho 3.30

Properties
As for the energy above the most stable polymorph in this dataset: 0.17 eV per formula unit. The calculation puts the formation energy at 0.089 eV per atom.



Ho2Hf2Sc7 | PBE-GGA | optimized geometry

Cell lengths 7.4044, 6.3922, 6.3922 Å; angles 103.32, 79.84, 79.84 degrees
Closest atoms and distances in Å follow each position.
Fractional coordinates of all 11 atoms:
Sc 0.1583 0.5075 0.1097  2 Sc 2.94-3.27, 2 Hf 2.95-3.10, 1 Ho 3.10
Sc 0.8417 0.4925 0.8903  2 Sc 2.94-3.27, 2 Hf 2.95-3.10, 1 Ho 3.10
Sc 0.1583 0.1097 0.5075  2 Sc 2.94-3.27, 2 Hf 2.95-3.10, 1 Ho 3.10
Sc 0.8417 0.8903 0.4925  2 Sc 2.94-3.27, 2 Hf 2.95-3.10, 1 Ho 3.10
Ho 0.5000 0.7148 0.2852  8 Sc 3.10-3.30, 2 Hf 3.16
Sc 0.5289 0.1986 0.1986  4 Ho 3.18-3.30, 2 Hf 3.19-3.39, 4 Sc 3.30-3.39
Hf 0.8260 0.4211 0.4211  6 Sc 2.95-3.22, 2 Ho 3.16, 1 Hf 3.17
Ho 0.5000 0.2852 0.7148  8 Sc 3.10-3.30, 2 Hf 3.16
Hf 0.1740 0.5789 0.5789  6 Sc 2.95-3.22, 2 Ho 3.16, 1 Hf 3.17
Sc 0.0000 0.0000 0.0000  2 Hf 3.22, 10 Sc 3.39-3.60
Sc 0.4711 0.8014 0.8014  4 Ho 3.18-3.30, 2 Hf 3.19-3.39, 4 Sc 3.30-3.39

Properties
The calculation puts the formation energy at 0.182 eV per atom.



HoHfZrSc | PBE-GGA | optimized geometry

Cell lengths 5.1744, 5.1744, 5.1744 Å; angles 60.00, 60.00, 60.00 degrees
Closest atoms and distances in Å follow each position.
Fractional coordinates of all 4 atoms:
Sc 0.5000 0.5000 0.5000  4 Zr 3.17, 4 Ho 3.17
Ho 0.2500 0.2500 0.2500  4 Sc 3.17, 4 Hf 3.17
Hf 0.0000 0.0000 0.0000  4 Ho 3.17, 4 Zr 3.17
Zr 0.7500 0.7500 0.7500  4 Hf 3.17, 4 Sc 3.17

Properties
The calculation puts the formation energy at 0.203 eV per atom.



Ho3HfSe6 | PBE-GGA | optimized geometry

Cell lengths 8.2142, 8.2142, 8.2142 Å; angles 91.45, 91.45, 91.45 degrees
Closest atoms and distances in Å follow each position.
Fractional coordinates of all 20 atoms:
Se 0.9272 0.0868 0.3079  1 Hf 2.70, 3 Ho 2.85-2.93
Ho 0.2491 0.5804 0.0882  6 Se 2.80-2.93
Se 0.4520 0.5806 0.8116  1 Hf 2.67, 3 Ho 2.80-2.93
Hf 0.5000 0.5000 0.5000  6 Se 2.67
Hf 0.0000 0.0000 0.0000  6 Se 2.70
Ho 0.7509 0.4196 0.9118  6 Se 2.80-2.93
Se 0.0728 0.9132 0.6921  1 Hf 2.70, 3 Ho 2.85-2.93
Ho 0.4196 0.9118 0.7509  6 Se 2.80-2.93
Ho 0.9118 0.7509 0.4196  6 Se 2.80-2.93
Se 0.4194 0.1884 0.5480  1 Hf 2.67, 3 Ho 2.80-2.93
Ho 0.5804 0.0882 0.2491  6 Se 2.80-2.93
Ho 0.0882 0.2491 0.5804  6 Se 2.80-2.93
Se 0.6921 0.0728 0.9132  1 Hf 2.70, 3 Ho 2.85-2.93
Se 0.9132 0.6921 0.0728  1 Hf 2.70, 3 Ho 2.85-2.93
Se 0.8116 0.4520 0.5806  1 Hf 2.67, 3 Ho 2.80-2.93
Se 0.1884 0.5480 0.4194  1 Hf 2.67, 3 Ho 2.80-2.93
Se 0.3079 0.9272 0.0868  1 Hf 2.70, 3 Ho 2.85-2.93
Se 0.0868 0.3079 0.9272  1 Hf 2.70, 3 Ho 2.85-2.93
Se 0.5480 0.4194 0.1884  1 Hf 2.67, 3 Ho 2.80-2.93
Se 0.5806 0.8116 0.4520  1 Hf 2.67, 3 Ho 2.80-2.93

Properties
Its formation energy from raw total energies is -1.62 eV/atom.



HoHfSe2 | PBE-GGA | optimized geometry

Cell lengths 3.6583, 3.6583, 7.7254 Å; angles 76.30, 76.30, 60.00 degrees
Closest atoms and distances in Å follow each position.
Fractional coordinates of all 4 atoms:
Ho 0.6661 0.6661 0.0017  6 Se 2.88-2.91
Se 0.0891 0.0891 0.7328  3 Hf 2.73, 3 Ho 2.91
Se 0.2449 0.2449 0.2652  3 Hf 2.74, 3 Ho 2.88
Hf 0.4999 0.4999 0.5002  6 Se 2.73-2.74

Properties
As for the energy above the most stable polymorph in this dataset: 0.00 eV per formula unit. Its formation energy from raw total energies is -1.31 eV/atom.



HoHfSe2 | PBE-GGA | optimized geometry

Cell lengths 3.7096, 3.7096, 9.1896 Å; angles 78.36, 78.36, 60.00 degrees
Closest atoms and distances in Å follow each position.
Fractional coordinates of all 4 atoms:
Hf 0.5000 0.5000 0.5000  6 Se 2.69
Se 0.1058 0.1058 0.6827  3 Hf 2.69, 1 Ho 2.84
Ho 0.0000 0.0000 0.0000  2 Se 2.84
Se 0.8942 0.8942 0.3173  3 Hf 2.69, 1 Ho 2.84

Properties
As for the energy above the most stable polymorph in this dataset: 1.23 eV per formula unit. Its formation energy from raw total energies is -1.01 eV/atom.



HoHfSe | PBE-GGA | optimized geometry

Cell lengths 3.5482, 3.5482, 12.9452 Å; angles 90.00, 90.00, 120.00 degrees
Closest atoms and distances in Å follow each position.
Fractional coordinates of all 6 atoms:
Hf 0.2777 0.5554 0.5000  6 Se 2.71
Hf 0.6113 0.2226 0.0000  6 Ho 3.30, 6 Hf 3.55
Se 0.6110 0.2220 0.3630  3 Hf 2.71, 3 Ho 2.94
Ho 0.2778 0.5556 0.8002  3 Se 2.94
Ho 0.2778 0.5556 0.1998  3 Se 2.94
Se 0.6110 0.2220 0.6370  3 Hf 2.71, 3 Ho 2.94

Properties
Its formation energy from raw total energies is -0.85 eV/atom.



Please write out number 4 again, unchanged.
HoHfZrSc | PBE-GGA | optimized geometry

Cell lengths 5.1744, 5.1744, 5.1744 Å; angles 60.00, 60.00, 60.00 degrees
Closest atoms and distances in Å follow each position.
Fractional coordinates of all 4 atoms:
Sc 0.5000 0.5000 0.5000  4 Zr 3.17, 4 Ho 3.17
Ho 0.2500 0.2500 0.2500  4 Sc 3.17, 4 Hf 3.17
Hf 0.0000 0.0000 0.0000  4 Ho 3.17, 4 Zr 3.17
Zr 0.7500 0.7500 0.7500  4 Hf 3.17, 4 Sc 3.17

Properties
The calculation puts the formation energy at 0.203 eV per atom.